# 1
VASP calculation (PBE) on a relaxed Sr3ReO8 crystal.

ΔE_f (raw) = -19.83 eV per formula unit
Space group = I4/mmm (139)
Density = 5505 kg/m³

Cell lengths 5.6036, 5.6036, 6.8140 Å; angles 114.28, 114.28, 90.00 degrees
Positions (direct):
Sr  0.7500  0.2500  0.5000
Sr  0.5000  0.5000  0.0000
Sr  0.2500  0.7500  0.5000
Re  0.0000  0.0000  0.0000
O  0.3151  0.3151  0.2126
O  0.3151  0.8975  0.2126
O  0.1025  0.6849  0.7874
O  0.1025  0.1025  0.7874
O  0.8975  0.8975  0.2126
O  0.8975  0.3151  0.2126
O  0.6849  0.1025  0.7874
O  0.6849  0.6849  0.7874

# 2
VASP calculation (PBE) on a relaxed K2MgVBr6 crystal.

ΔE_f (raw) = -13.40 eV per formula unit
Space group = P2_1/c (14)
Density = 3609 kg/m³

Cell lengths 7.3511, 7.5207, 10.5343 Å; angles 90.00, 89.90, 90.00 degrees
Positions (direct):
K  0.0183  0.9377  0.2504
K  0.5183  0.5623  0.7504
K  0.9817  0.0623  0.7496
K  0.4817  0.4377  0.2496
Mg  0.5000  0.0000  0.5000
Mg  0.0000  0.5000  0.0000
V  0.5000  0.0000  0.0000
V  0.0000  0.5000  0.5000
Br  0.2996  0.7066  0.0368
Br  0.7996  0.7934  0.5368
Br  0.7004  0.2934  0.9632
Br  0.2004  0.2066  0.4632
Br  0.2946  0.7021  0.4629
Br  0.7946  0.7979  0.9629
Br  0.7054  0.2979  0.5371
Br  0.2054  0.2021  0.0371
Br  0.9251  0.5060  0.2522
Br  0.4251  0.9940  0.7522
Br  0.0749  0.4940  0.7478
Br  0.5749  0.0060  0.2478

# 3
VASP calculation (PBE) on a relaxed NaCaHg crystal.

Energy relative to the lowest polymorph listed for this composition = 0.064 eV/atom
Space group = P3m1 (156)
Energy of formation = -61 kJ/mol of formula units
Density = 4901 kg/m³

Cell lengths 3.8208, 5.1958, 5.1958 Å; angles 120.00, 90.00, 90.00 degrees
Positions (direct):
Na  0.4921  0.3333  0.6667
Ca  0.9989  0.0000  0.0000
Hg  0.5090  0.6667  0.3333

- Among the records above, which one has the highest density?
  Sr3ReO8

- Look up the density of the first one.
  5505 kg/m³